(1)
Density functional theory data (PBE) for a geometry-optimized CuAg4 structure.

Calculated values
E above lowest polymorph = 33.3 meV/atom
Calculated density = 9.821 g/cm3
V = 16.739 Å³/atom

The structure in POSCAR format:
```
CuAg4
1.0
-8.812 5.049 1.819
6.890 -7.653 0.644
1.698 1.800 3.229
Ag Cu
8 2
Cartesian
0.849 0.900 1.615
-0.961 -1.302 1.232
4.640 -4.246 2.491
-4.056 1.201 1.463
-1.659 0.849 2.962
1.435 -1.653 2.730
2.134 -3.806 1.000
-4.864 3.442 3.201
-7.253 3.788 1.702
5.331 -6.392 0.761
```

***

(2)
Density functional theory data (PBE) for a geometry-optimized Zr3Te structure.

Calculated values
DFT total energy = -7.499 eV/atom
Calculated density = 7.523 g/cm3
V = 22.143 Å³/atom

The structure in POSCAR format:
```
Zr3Te
1.0
5.404 -3.120 0.000
0.000 6.240 0.000
0.000 0.000 5.253
Zr Te
6 2
Cartesian
2.715 -1.539 0.000
2.714 1.538 0.000
1.826 0.000 2.626
4.491 1.538 2.626
4.491 -1.539 2.626
5.379 0.000 0.000
0.000 0.000 0.000
1.801 3.120 2.626
```

***

(3)
Density functional theory data (PBE) for a geometry-optimized ZnCoPbS3 structure.

Calculated values
E above lowest polymorph = 0.0 meV/atom
Calculated density = 6.060 g/cm3
V = 19.534 Å³/atom

The structure in POSCAR format:
```
ZnCoPbS3
1.0
-1.582 -0.598 -6.473
-4.716 -1.243 -4.580
-2.179 9.559 -0.351
S Pb Co Zn
6 2 2 2
Cartesian
-6.004 7.823 -7.275
-2.472 -0.105 -4.128
-7.501 5.454 -10.560
-0.976 2.264 -0.844
-5.179 4.202 -7.143
-3.297 3.516 -4.261
-5.304 0.998 -8.441
-3.172 6.720 -2.962
-4.964 6.196 -6.108
-3.512 1.522 -5.296
-1.089 4.780 -0.175
0.000 0.000 0.000
```

***

(4)
Density functional theory data (PBE) for a geometry-optimized LiTbAg2P2 structure.

Calculated values
DFT total energy = -4.488 eV/atom
Calculated density = 6.929 g/cm3
V = 17.716 Å³/atom

The structure in POSCAR format:
```
LiTbAg2P2
1.0
4.247 0.000 0.000
-2.123 3.678 0.000
0.000 0.000 6.805
Tb Ag P Li
1 2 2 1
Cartesian
0.000 0.000 0.000
2.123 1.226 2.278
0.000 2.452 4.528
0.000 2.452 1.590
2.123 1.226 5.216
0.000 0.000 3.403
```

***

(5)
Density functional theory data (PBE) for a geometry-optimized DyFeSi2Ag structure.

Calculated values
DFT total energy = -5.728 eV/atom
Calculated density = 7.534 g/cm3
V = 16.856 Å³/atom

The structure in POSCAR format:
```
DyFeSi2Ag
1.0
3.080 1.401 4.780
-1.143 4.882 3.025
-2.840 -4.590 -2.272
Dy Fe Si Ag
1 1 2 1
Cartesian
-1.507 1.717 2.328
0.968 3.142 3.902
0.828 0.701 4.105
0.381 -0.748 2.305
0.000 0.000 0.000
```

***

(6)
Density functional theory data (PBE) for a geometry-optimized TmAgB structure.

Calculated values
E above lowest polymorph = 0.0 meV/atom
Calculated density = 8.979 g/cm3
V = 17.731 Å³/atom

The structure in POSCAR format:
```
TmAgB
1.0
0.000 2.985 2.985
2.985 0.000 2.985
2.985 2.985 0.000
Tm Ag B
1 1 1
Cartesian
4.477 4.477 4.477
1.492 1.492 1.492
0.000 0.000 0.000
```

***

(7)
Density functional theory data (PBE) for a geometry-optimized Dy2TmIn3Ir2Au structure.

Calculated values
DFT total energy = -5.467 eV/atom
Calculated density = 12.014 g/cm3
V = 21.804 Å³/atom

The structure in POSCAR format:
```
Dy2TmIn3Ir2Au
1.0
3.845 0.000 0.000
0.000 6.626 3.852
0.000 -6.626 3.852
Dy In Tm Ir Au
2 3 1 2 1
Cartesian
0.000 -3.914 2.279
0.000 3.914 2.279
1.922 1.784 1.041
1.922 -1.784 1.041
1.922 0.000 5.624
0.000 0.000 3.151
1.922 -2.187 3.843
1.922 2.187 3.843
0.000 0.000 0.008
```

***

(8)
Density functional theory data (PBE) for a geometry-optimized RbCu2I3 structure.

Calculated values
DFT total energy = -2.770 eV/atom
Calculated density = 4.782 g/cm3
V = 34.336 Å³/atom

The structure in POSCAR format:
```
RbCu2I3
1.0
10.964 0.000 0.000
0.000 13.608 0.000
0.000 0.000 5.523
I Rb Cu
12 4 8
Cartesian
10.854 12.065 4.142
8.013 1.956 4.142
2.951 11.652 1.381
2.531 4.848 1.381
8.867 5.388 1.381
0.110 1.544 1.381
7.579 12.192 1.381
5.592 5.261 4.142
5.372 8.348 1.381
3.385 1.416 4.142
8.433 8.760 4.142
2.097 8.221 4.142
10.790 9.294 1.381
0.174 4.314 4.142
5.308 11.118 4.142
5.656 2.490 1.381
7.237 6.890 0.015
7.237 6.890 2.747
1.755 13.523 5.508
9.209 0.086 2.747
3.727 6.719 2.776
1.755 13.523 2.776
3.727 6.719 5.508
9.209 0.086 0.015
```

***

(9)
Density functional theory data (PBE) for a geometry-optimized PmNbB4 structure.

Calculated values
E above lowest polymorph = 0.0 meV/atom
Calculated density = 7.152 g/cm3
V = 10.879 Å³/atom

The structure in POSCAR format:
```
PmNbB4
1.0
3.166 0.000 0.000
-1.583 2.742 0.000
0.000 0.000 7.521
B Nb Pm
4 1 1
Cartesian
0.000 1.828 1.658
1.583 0.914 5.862
1.583 0.914 1.658
0.000 1.828 5.862
0.000 0.000 0.000
0.000 0.000 3.760
```

***

(10)
Density functional theory data (PBE) for a geometry-optimized ThTcCl structure.

Calculated values
DFT total energy = -7.538 eV/atom
Calculated density = 7.227 g/cm3
V = 27.994 Å³/atom

The structure in POSCAR format:
```
ThTcCl
1.0
3.599 -2.077 0.000
3.599 2.077 0.000
-2.459 0.000 11.233
Cl Tc Th
2 2 2
Cartesian
1.200 0.000 3.876
3.540 0.000 7.358
5.999 0.000 0.323
-1.259 0.000 10.910
3.598 0.000 2.064
1.142 0.000 9.169
```

***

(11)
Density functional theory data (PBE) for a geometry-optimized CuMo2C structure.

Calculated values
DFT total energy = -8.506 eV/atom
Calculated density = 8.489 g/cm3
V = 13.079 Å³/atom

The structure in POSCAR format:
```
CuMo2C
1.0
3.075 0.000 0.000
-1.537 2.663 0.000
0.000 0.000 12.778
Mo C Cu
4 2 2
Cartesian
1.537 0.888 7.519
1.537 0.888 11.648
0.000 1.775 1.130
0.000 1.775 5.259
0.000 0.000 0.000
0.000 0.000 6.389
0.000 1.775 9.583
1.537 0.888 3.194
```

***

(12)
Density functional theory data (PBE) for a geometry-optimized PrSbPO structure.

Calculated values
E above lowest polymorph = 0.0 meV/atom
Calculated density = 5.905 g/cm3
V = 21.770 Å³/atom

The structure in POSCAR format:
```
PrSbPO
1.0
4.155 0.000 0.000
0.000 4.155 0.000
0.000 0.000 10.088
P Pr O Sb
2 2 2 2
Cartesian
0.000 2.078 7.266
2.078 0.000 2.822
0.000 2.078 1.154
2.078 0.000 8.934
0.000 0.000 0.000
2.078 2.078 0.000
0.000 0.000 5.044
2.078 2.078 5.044
```

***

(13)
Density functional theory data (PBE) for a geometry-optimized HfSiMo structure.

Calculated values
E above lowest polymorph = 420.8 meV/atom
Calculated density = 9.913 g/cm3
V = 16.892 Å³/atom

The structure in POSCAR format:
```
HfSiMo
1.0
-4.951 2.477 4.017
-2.356 -1.206 -2.159
-0.188 -7.485 4.385
Hf Si Mo
4 4 4
Cartesian
-6.230 -5.522 5.828
-3.697 -4.457 2.470
-1.264 -0.692 0.415
-3.797 -1.757 3.773
-3.694 -1.867 1.021
-3.799 -4.347 5.221
-1.326 -5.650 3.251
-6.168 -0.564 2.992
-6.270 -2.996 4.462
-3.861 -6.880 4.003
-1.223 -3.218 1.781
-3.632 0.666 2.240
```

***

(14)
Density functional theory data (PBE) for a geometry-optimized Ta2Al11 structure.

Calculated values
E above lowest polymorph = 0.0 meV/atom
Calculated density = 5.149 g/cm3
V = 16.341 Å³/atom

The structure in POSCAR format:
```
Ta2Al11
1.0
2.614 1.509 8.974
-2.614 1.509 8.974
0.000 -3.019 8.974
Ta Al
2 11
Cartesian
0.000 0.000 9.511
0.000 0.000 17.410
-1.284 0.741 6.916
0.000 -1.483 6.916
0.000 0.000 14.700
1.284 -0.741 20.005
0.000 0.000 22.423
0.000 1.483 20.005
0.000 0.000 0.000
-1.284 -0.741 20.005
0.000 0.000 12.221
1.284 0.741 6.916
0.000 0.000 4.497
```

***

(15)
Density functional theory data (PBE) for a geometry-optimized ZrPIrO structure.

Calculated values
E above lowest polymorph = 551.6 meV/atom
Calculated density = 7.973 g/cm3
V = 17.203 Å³/atom

The structure in POSCAR format:
```
ZrPIrO
1.0
-3.684 1.593 -4.020
3.224 -2.509 -3.948
-2.164 -3.635 0.543
Ir Zr P O
2 2 2 2
Cartesian
0.559 -3.022 -1.710
-2.953 -1.070 -1.731
-1.082 -1.817 0.271
-1.312 -2.275 -3.713
-0.521 -4.837 -1.439
-1.873 0.745 -2.002
-0.230 -0.458 -3.984
0.000 0.000 0.000
```

***

(16)
Density functional theory data (PBE) for a geometry-optimized BaLuTe3Au structure.

Calculated values
DFT total energy = -4.316 eV/atom
Calculated density = 7.552 g/cm3
V = 32.690 Å³/atom

The structure in POSCAR format:
```
BaLuTe3Au
1.0
9.914 -2.218 0.000
9.914 2.218 0.000
-1.576 0.000 8.921
Te Ba Lu Au
6 2 2 2
Cartesian
5.378 0.000 5.611
12.873 0.000 3.310
9.914 0.000 0.000
-0.788 0.000 4.460
12.291 0.000 7.344
5.960 0.000 1.577
15.820 0.000 8.215
2.431 0.000 0.706
2.275 0.000 5.246
15.977 0.000 3.674
8.528 0.000 2.599
9.723 0.000 6.321
```

***

(17)
Density functional theory data (PBE) for a geometry-optimized GdSnAuSe3 structure.

Calculated values
E above lowest polymorph = 23.5 meV/atom
Calculated density = 7.878 g/cm3
V = 24.935 Å³/atom

The structure in POSCAR format:
```
GdSnAuSe3
1.0
10.660 0.000 0.000
0.000 2.035 6.897
0.000 -2.035 6.897
Gd Au Se Sn
2 2 6 2
Cartesian
7.995 0.000 0.000
2.665 0.000 0.000
0.000 0.000 6.452
5.330 0.000 7.341
0.000 0.000 1.322
5.330 0.000 12.471
7.407 0.000 8.933
2.077 0.000 4.860
8.582 0.000 4.860
3.253 0.000 8.933
0.000 0.000 10.610
5.330 0.000 3.184
```

***

(18)
Density functional theory data (PBE) for a geometry-optimized DyYPt2 structure.

Calculated values
DFT total energy = -7.068 eV/atom
Calculated density = 12.038 g/cm3
V = 22.125 Å³/atom

The structure in POSCAR format:
```
DyYPt2
1.0
5.574 0.000 0.000
0.000 4.506 0.000
-0.029 0.000 7.048
Y Pt Dy
2 4 2
Cartesian
0.763 3.379 4.807
4.783 1.126 2.241
0.838 1.126 6.739
4.707 3.379 0.309
1.921 1.126 3.209
3.624 3.379 3.839
2.001 3.379 1.282
3.544 1.126 5.766
```

***

(19)
Density functional theory data (PBE) for a geometry-optimized PrInRe structure.

Calculated values
DFT total energy = -5.297 eV/atom
Calculated density = 8.591 g/cm3
V = 28.475 Å³/atom

The structure in POSCAR format:
```
PrInRe
1.0
2.745 -3.834 -1.484
-1.715 -4.609 0.504
-1.329 -2.593 -3.993
Re In Pr
1 1 1
Cartesian
-0.224 -8.277 -3.730
-0.075 -2.759 -1.243
0.000 0.000 0.000
```

***

(20)
Density functional theory data (PBE) for a geometry-optimized Mg5Tl4Cd structure.

Calculated values
DFT total energy = -1.850 eV/atom
Calculated density = 7.212 g/cm3
V = 24.210 Å³/atom

The structure in POSCAR format:
```
Mg5Tl4Cd
1.0
3.564 0.000 0.000
0.000 3.564 0.000
0.000 0.000 19.062
Mg Tl Cd
5 4 1
Cartesian
1.782 1.782 1.741
1.782 1.782 13.469
1.782 1.782 17.321
1.782 1.782 9.531
1.782 1.782 5.593
0.000 0.000 11.502
0.000 0.000 7.561
0.000 0.000 3.669
0.000 0.000 15.393
0.000 0.000 0.000
```